The following is a DFT calculation (PBE-GGA) of crystalline ErTmScMn at its relaxed geometry.

The structure belongs to space group F-43m (No. 216); the cell edges are 7.276, 7.276 and 7.276 Å and the angles 90.00°, 90.00° and 90.00°. Symmetry generates all atoms from Er at (0.000, 0.000, 0.000), Tm at (0.000, 0.000, 0.500), Sc at (0.250, 0.250, 0.250) and Mn at (0.250, 0.250, 0.750).

For the calculated formation energy, the calculation gives 0.219 eV per atom. The value obtained for the density of states at the Fermi level is 25.22 states/eV/cell.